(1)
A PBEsol-optimized structure of CuTc2HRu. Source: Alexandria, functional meta-GGA SCAN. Values from VASP.

Space group: No. 123
Crystal system: tetragonal
Density of states at the Fermi level, states/eV per cell: 4.57
E_tot, eV/f.u.: -122.180

```
&SYSTEM
  ibrav = 0, nat = 5, ntyp = 4
/
ATOMIC_SPECIES
Cu 63.55 Cu.upf
Tc 98.00 Tc.upf
H 1.01 H.upf
Ru 101.07 Ru.upf
CELL_PARAMETERS angstrom
3.808 0.000 0.000
0.000 3.808 0.000
0.000 0.000 3.820
ATOMIC_POSITIONS angstrom
Cu 0.000 0.000 0.000
Tc 0.000 1.904 1.910
Tc 1.904 0.000 1.910
H 1.904 1.904 1.910
Ru 1.904 1.904 0.000
```

(2)
A PBEsol-optimized structure of LaReSe2Br. Source: Alexandria, functional meta-GGA SCAN. Values from VASP.

Space group: No. 123
Crystal system: tetragonal
Density of states at the Fermi level, states/eV per cell: 1.94
Formation energy (no corrections), meV/atom: 406.1

```
&SYSTEM
  ibrav = 0, nat = 5, ntyp = 4
/
ATOMIC_SPECIES
La 138.91 La.upf
Re 186.21 Re.upf
Se 78.96 Se.upf
Br 79.90 Br.upf
CELL_PARAMETERS angstrom
5.670 0.000 0.000
0.000 5.670 0.000
0.000 0.000 5.636
ATOMIC_POSITIONS angstrom
La 0.000 0.000 0.000
Re 2.835 2.835 2.818
Se 0.000 2.835 0.000
Se 2.835 0.000 0.000
Br 0.000 0.000 2.818
```

(3)
A PBEsol-optimized structure of TlTc2Au. Source: Alexandria, functional meta-GGA SCAN. Values from VASP.

Space group: No. 44
Crystal system: orthorhombic
ΔH_f (0 K), eV per atom: 0.567
Density of states at the Fermi level, states/eV per cell: 4.04
Distance to the lowest polymorph of the same formula, meV per atom: 313.6

```
&SYSTEM
  ibrav = 0, nat = 4, ntyp = 3
/
ATOMIC_SPECIES
Tl 204.38 Tl.upf
Tc 98.00 Tc.upf
Au 196.97 Au.upf
CELL_PARAMETERS angstrom
-1.877 2.177 4.049
1.877 -2.177 4.049
1.877 2.177 -4.049
ATOMIC_POSITIONS angstrom
Tl 0.000 0.000 0.000
Tc 1.877 0.000 2.143
Tc 0.000 0.000 3.840
Au 0.000 2.177 1.931
```

(4)
A PBEsol-optimized structure of MgRe2Pt. Source: Alexandria, functional meta-GGA SCAN. Values from VASP.

Space group: No. 99
Crystal system: tetragonal
ΔH_f (0 K), eV per atom: -0.120
Density of states at the Fermi level, states/eV per cell: 2.89

```
&SYSTEM
  ibrav = 0, nat = 4, ntyp = 3
/
ATOMIC_SPECIES
Mg 24.30 Mg.upf
Re 186.21 Re.upf
Pt 195.08 Pt.upf
CELL_PARAMETERS angstrom
2.806 0.000 0.000
0.000 2.806 0.000
0.000 0.000 7.758
ATOMIC_POSITIONS angstrom
Mg 0.000 0.000 0.000
Re 0.000 0.000 3.891
Re 1.403 1.403 5.624
Pt 1.403 1.403 1.940
```

(5)
A PBEsol-optimized structure of Re2NiHg. Source: Alexandria, functional meta-GGA SCAN. Values from VASP.

Space group: No. 123
Crystal system: tetragonal
ΔH_f (0 K), eV per atom: 0.665
Density of states at the Fermi level, states/eV per cell: 2.47

```
&SYSTEM
  ibrav = 0, nat = 4, ntyp = 3
/
ATOMIC_SPECIES
Re 186.21 Re.upf
Ni 58.69 Ni.upf
Hg 200.59 Hg.upf
CELL_PARAMETERS angstrom
3.710 0.000 0.000
0.000 3.710 0.000
0.000 0.000 4.269
ATOMIC_POSITIONS angstrom
Re 0.000 1.855 0.000
Re 1.855 0.000 0.000
Ni 0.000 0.000 2.134
Hg 1.855 1.855 2.134
```

(6)
A PBEsol-optimized structure of AsPIrCl2. Source: Alexandria, functional meta-GGA SCAN. Values from VASP.

Space group: No. 123
Crystal system: tetragonal
Density of states at the Fermi level, states/eV per cell: 2.16
Formation energy (no corrections), meV/atom: 1218.4

```
&SYSTEM
  ibrav = 0, nat = 5, ntyp = 4
/
ATOMIC_SPECIES
As 74.92 As.upf
P 30.97 P.upf
Ir 192.22 Ir.upf
Cl 35.45 Cl.upf
CELL_PARAMETERS angstrom
4.523 0.000 0.000
0.000 4.523 0.000
0.000 0.000 5.168
ATOMIC_POSITIONS angstrom
As 0.000 0.000 0.000
P 0.000 0.000 2.584
Ir 2.261 2.261 2.584
Cl 0.000 2.261 0.000
Cl 2.261 0.000 0.000
```

(7)
A PBEsol-optimized structure of Dy4Al2O9. Source: Alexandria, functional meta-GGA SCAN. Values from VASP.

Space group: No. 14
Crystal system: monoclinic
Density of states at the Fermi level, states/eV per cell: 0.00
Formation energy (no corrections), meV/atom: -3741.9

```
&SYSTEM
  ibrav = 0, nat = 60, ntyp = 3
/
ATOMIC_SPECIES
Dy 162.50 Dy.upf
Al 26.98 Al.upf
O 16.00 O.upf
CELL_PARAMETERS angstrom
7.328 0.000 0.000
0.000 10.432 0.000
-3.516 0.000 10.518
ATOMIC_POSITIONS angstrom
Dy -0.911 0.995 3.219
Dy -2.669 4.221 8.478
Dy -0.864 6.461 6.187
Dy 0.893 9.187 0.928
Dy -0.813 1.315 9.858
Dy 0.945 3.901 4.599
Dy 2.734 6.371 2.278
Dy 0.976 9.278 7.537
Dy 2.836 1.154 2.981
Dy 1.078 4.062 8.240
Dy 2.868 6.531 5.920
Dy 4.625 9.117 0.660
Dy 2.919 1.245 9.591
Dy 4.677 3.971 4.332
Dy 6.481 6.211 2.040
Dy 4.724 9.437 7.300
Al -0.628 1.882 6.591
Al 1.130 3.334 1.332
Al -0.587 7.078 9.330
Al 1.170 8.570 4.071
Al 2.642 1.862 6.447
Al 4.400 3.354 1.188
Al 2.683 7.098 9.186
Al 4.441 8.550 3.927
O -1.162 2.454 5.030
O -2.919 2.762 10.289
O -0.806 5.292 4.144
O -2.564 10.357 9.403
O 0.663 7.664 2.658
O -1.095 7.985 7.917
O -0.738 0.171 6.872
O 1.020 5.045 1.612
O 0.748 2.480 2.830
O -1.010 2.736 8.089
O -0.718 5.421 8.770
O 1.040 10.228 3.511
O 2.516 7.630 0.421
O 0.758 8.018 5.680
O 1.007 2.526 6.461
O 2.764 2.690 1.202
O 1.066 5.299 6.387
O 2.824 10.349 1.128
O 0.989 0.083 9.390
O 2.747 5.133 4.131
O 1.048 7.742 9.316
O 2.806 7.906 4.057
O 3.055 2.414 4.838
O 1.297 2.802 10.097
O 2.773 0.205 7.008
O 4.531 5.012 1.748
O 4.822 7.696 2.429
O 3.065 7.952 7.688
O 2.793 5.388 8.906
O 4.551 10.261 3.647
O 4.908 2.448 2.601
O 3.150 2.769 7.860
O 6.377 0.076 1.115
O 4.619 5.140 6.375
O 6.732 7.670 0.229
O 4.974 7.978 5.488
```

(8)
A PBEsol-optimized structure of ZrAsS2N. Source: Alexandria, functional meta-GGA SCAN. Values from VASP.

Space group: No. 123
Crystal system: tetragonal
Density of states at the Fermi level, states/eV per cell: 1.94
Formation energy (no corrections), meV/atom: 208.9

```
&SYSTEM
  ibrav = 0, nat = 5, ntyp = 4
/
ATOMIC_SPECIES
Zr 91.22 Zr.upf
As 74.92 As.upf
S 32.06 S.upf
N 14.01 N.upf
CELL_PARAMETERS angstrom
4.679 0.000 0.000
0.000 4.679 0.000
0.000 0.000 3.666
ATOMIC_POSITIONS angstrom
Zr 0.000 0.000 0.000
As 2.340 2.340 1.833
S 0.000 2.340 1.833
S 2.340 0.000 1.833
N 2.340 2.340 0.000
```

(9)
A PBEsol-optimized structure of Zr3Ag. Source: Alexandria, functional meta-GGA SCAN. Values from VASP.

Space group: No. 123
Crystal system: tetragonal
ΔH_f (0 K), eV per atom: -0.080
Density of states at the Fermi level, states/eV per cell: 2.53

```
&SYSTEM
  ibrav = 0, nat = 4, ntyp = 2
/
ATOMIC_SPECIES
Zr 91.22 Zr.upf
Ag 107.87 Ag.upf
CELL_PARAMETERS angstrom
3.159 0.000 0.000
0.000 3.159 0.000
0.000 0.000 8.308
ATOMIC_POSITIONS angstrom
Zr 0.000 0.000 0.000
Zr 1.580 1.580 2.170
Zr 1.580 1.580 6.138
Ag 0.000 0.000 4.154
```

(10)
A PBEsol-optimized structure of LiNbAlAg2. Source: Alexandria, functional meta-GGA SCAN. Values from VASP.

Space group: No. 123
Crystal system: tetragonal
ΔH_f (0 K), eV per atom: 1.472
Density of states at the Fermi level, states/eV per cell: 3.75

```
&SYSTEM
  ibrav = 0, nat = 5, ntyp = 4
/
ATOMIC_SPECIES
Li 6.94 Li.upf
Nb 92.91 Nb.upf
Al 26.98 Al.upf
Ag 107.87 Ag.upf
CELL_PARAMETERS angstrom
5.082 0.000 0.000
0.000 5.082 0.000
0.000 0.000 4.922
ATOMIC_POSITIONS angstrom
Li 0.000 0.000 0.000
Nb 0.000 0.000 2.461
Al 2.541 2.541 0.000
Ag 0.000 2.541 2.461
Ag 2.541 0.000 2.461
```

(11)
A PBEsol-optimized structure of Y2CrRe2. Source: Alexandria, functional meta-GGA SCAN. Values from VASP.

Space group: No. 139
Crystal system: tetragonal
ΔH_f (0 K), eV per atom: 0.398
Density of states at the Fermi level, states/eV per cell: 5.85

```
&SYSTEM
  ibrav = 0, nat = 5, ntyp = 3
/
ATOMIC_SPECIES
Y 88.91 Y.upf
Cr 52.00 Cr.upf
Re 186.21 Re.upf
CELL_PARAMETERS angstrom
-1.767 1.767 8.704
1.767 -1.767 8.704
1.767 1.767 -8.704
ATOMIC_POSITIONS angstrom
Y 0.000 0.000 1.820
Y 0.000 0.000 15.589
Cr 0.000 0.000 8.704
Re 1.767 0.000 4.352
Re 0.000 1.767 4.352
```

(12)
A PBEsol-optimized structure of NdB2Os2. Source: Alexandria, functional meta-GGA SCAN. Values from VASP.

Space group: No. 70
Crystal system: orthorhombic
ΔH_f (0 K), eV per atom: -0.520
Density of states at the Fermi level, states/eV per cell: 3.89

```
&SYSTEM
  ibrav = 0, nat = 10, ntyp = 3
/
ATOMIC_SPECIES
Nd 144.24 Nd.upf
B 10.81 B.upf
Os 190.23 Os.upf
CELL_PARAMETERS angstrom
0.000 4.528 4.981
3.294 0.000 4.981
3.294 4.528 0.000
ATOMIC_POSITIONS angstrom
Nd 0.823 1.132 1.245
Nd 5.764 7.925 8.717
B 2.470 1.710 3.736
B 4.117 3.974 6.227
B 2.470 5.083 3.736
B 4.117 7.347 6.227
Os 2.470 3.396 2.375
Os 4.117 5.660 4.866
Os 2.470 3.396 5.097
Os 4.117 5.660 7.588
```

Please write out number 2 again, unchanged.
A PBEsol-optimized structure of LaReSe2Br. Source: Alexandria, functional meta-GGA SCAN. Values from VASP.

Space group: No. 123
Crystal system: tetragonal
Density of states at the Fermi level, states/eV per cell: 1.94
Formation energy (no corrections), meV/atom: 406.1

```
&SYSTEM
  ibrav = 0, nat = 5, ntyp = 4
/
ATOMIC_SPECIES
La 138.91 La.upf
Re 186.21 Re.upf
Se 78.96 Se.upf
Br 79.90 Br.upf
CELL_PARAMETERS angstrom
5.670 0.000 0.000
0.000 5.670 0.000
0.000 0.000 5.636
ATOMIC_POSITIONS angstrom
La 0.000 0.000 0.000
Re 2.835 2.835 2.818
Se 0.000 2.835 0.000
Se 2.835 0.000 0.000
Br 0.000 0.000 2.818
```